Rb5ICl4: optimized geometry, GGA-PBE.

Results
Fermi-level density of states = 0.00 states/eV per atom
Formation energy (no corrections) = -1778 kJ/mol of formula units
Crystal system = monoclinic
Mass density = 2.9 g/cm³
E = -32.197 eV/cell

Geometry as POSCAR:
```
Rb5ICl4
1.0
8.052 -2.417 0.000
8.052 2.417 0.000
-5.876 0.000 10.392
Rb I Cl
5 1 4
Cartesian
0.000 0.000 0.000
-1.478 0.000 8.469
2.678 0.000 6.365
7.550 0.000 4.027
11.706 0.000 1.922
-2.938 0.000 5.196
1.533 0.000 3.035
5.911 0.000 1.025
4.317 0.000 9.367
8.695 0.000 7.357
```